The following is a PBE+U calculation of a geometry-optimized CrO structure, from Alexandria.

Unit cell a=3.0585 b=5.6708 c=5.6708 alpha=117.75 beta=90.00 gamma=90.00
Positions (direct):
Cr  0.0000  0.0000  0.0000
Cr  0.5000  0.0286  0.4927
Cr  0.5000  0.4927  0.0286
O  0.0000  0.2113  0.7834
O  0.0000  0.7834  0.2113
O  0.5000  0.2085  0.2085

## Properties
As for the total energy: -7.536 eV per atom.